1.
! InCuTc2 GGA-PBE relaxed; values from VASP
&SYSTEM
  ibrav = 0, nat = 4, ntyp = 3
/
ATOMIC_SPECIES
In 114.82 In.upf
Cu 63.55 Cu.upf
Tc 98.00 Tc.upf
CELL_PARAMETERS angstrom
3.2142 0.0000 0.0000
0.0000 3.2142 0.0000
0.0000 0.0000 6.1064
ATOMIC_POSITIONS crystal
In 0.0000 0.0000 0.0000
Cu 0.0000 0.0000 0.5000
Tc 0.5000 0.5000 0.3001
Tc 0.5000 0.5000 0.6999
! * crystal system: tetragonal
! * energy of formation: 156.0 kJ/mol of formula units
! * theoretical density: 9.85 g/cm³

=====

2.
! TlP2WS GGA-PBE relaxed; values from VASP
&SYSTEM
  ibrav = 0, nat = 5, ntyp = 4
/
ATOMIC_SPECIES
Tl 204.38 Tl.upf
P 30.97 P.upf
W 183.84 W.upf
S 32.06 S.upf
CELL_PARAMETERS angstrom
4.8875 0.0000 0.0000
0.0000 4.8875 0.0000
0.0000 0.0000 4.8952
ATOMIC_POSITIONS crystal
Tl 0.0000 0.0000 0.0000
P 0.0000 0.5000 0.0000
P 0.5000 0.0000 0.0000
W 0.5000 0.5000 0.5000
S 0.0000 0.0000 0.5000
! * crystal system: tetragonal
! * E_form (uncorrected): 11.295 eV per formula unit
! * excess energy over the best structure of this formula in the dataset: 2.054 eV/atom
! * theoretical density: 6.85 g/cm³

=====

3.
! Nb13In2 GGA-PBE relaxed; values from VASP
&SYSTEM
  ibrav = 0, nat = 15, ntyp = 2
/
ATOMIC_SPECIES
Nb 92.91 Nb.upf
In 114.82 In.upf
CELL_PARAMETERS angstrom
3.7267 2.1516 7.0899
-3.7267 2.1516 7.0899
0.0000 -4.3032 7.0899
ATOMIC_POSITIONS crystal
Nb 0.0000 0.0000 0.0000
Nb 0.1228 0.1228 0.4971
Nb 0.1228 0.4971 0.1228
Nb 0.2447 0.2447 0.6365
Nb 0.2447 0.6365 0.2447
Nb 0.3635 0.7553 0.7553
Nb 0.4971 0.1228 0.1228
Nb 0.5029 0.8772 0.8772
Nb 0.6365 0.2447 0.2447
Nb 0.7553 0.3635 0.7553
Nb 0.7553 0.7553 0.3635
Nb 0.8772 0.5029 0.8772
Nb 0.8772 0.8772 0.5029
In 0.1348 0.1348 0.1348
In 0.8652 0.8652 0.8652
! * crystal system: trigonal
! * energy of formation: 1041.4 kJ/mol of formula units
! * theoretical density: 7.00 g/cm³

=====

4.
! MnRePb2 GGA-PBE relaxed; values from VASP
&SYSTEM
  ibrav = 0, nat = 8, ntyp = 3
/
ATOMIC_SPECIES
Mn 54.94 Mn.upf
Re 186.21 Re.upf
Pb 207.20 Pb.upf
CELL_PARAMETERS angstrom
4.2461 0.0000 0.0000
0.0000 3.7451 0.0000
0.0000 0.0000 10.4262
ATOMIC_POSITIONS crystal
Mn 0.0000 0.0000 0.0000
Mn 0.0000 0.5000 0.5000
Re 0.5000 0.0000 0.8750
Re 0.5000 0.5000 0.3750
Pb 0.0000 0.0000 0.2824
Pb 0.0000 0.5000 0.7824
Pb 0.5000 0.0000 0.5891
Pb 0.5000 0.5000 0.0891
! * crystal system: orthorhombic
! * energy of formation: 253.3 kJ/mol of formula units
! * excess energy over the best structure of this formula in the dataset: 0.240 eV/atom
! * theoretical density: 13.13 g/cm³

=====

5.
! Tb2Dy3In2 GGA-PBE relaxed; values from VASP
&SYSTEM
  ibrav = 0, nat = 14, ntyp = 3
/
ATOMIC_SPECIES
Tb 158.93 Tb.upf
Dy 162.50 Dy.upf
In 114.82 In.upf
CELL_PARAMETERS angstrom
4.8821 0.0000 0.0000
0.0000 23.8023 0.0000
0.0000 0.0000 3.4399
ATOMIC_POSITIONS crystal
Tb 0.0000 0.2141 0.0000
Tb 0.0000 0.7859 0.0000
Tb 0.5000 0.2859 0.0000
Tb 0.5000 0.7141 0.0000
Dy 0.0000 0.3586 0.5000
Dy 0.0000 0.5000 0.5000
Dy 0.0000 0.6414 0.5000
Dy 0.5000 0.0000 0.5000
Dy 0.5000 0.1414 0.5000
Dy 0.5000 0.8586 0.5000
In 0.0000 0.0712 0.0000
In 0.0000 0.9288 0.0000
In 0.5000 0.4288 0.0000
In 0.5000 0.5712 0.0000
! * crystal system: orthorhombic
! * energy of formation: -105.4 kJ/mol of formula units
! * excess energy over the best structure of this formula in the dataset: 0.121 eV/atom
! * theoretical density: 8.60 g/cm³

=====

6.
! Tm5TlIn2 GGA-PBE relaxed; values from VASP
&SYSTEM
  ibrav = 0, nat = 16, ntyp = 3
/
ATOMIC_SPECIES
Tm 168.93 Tm.upf
Tl 204.38 Tl.upf
In 114.82 In.upf
CELL_PARAMETERS angstrom
2.2870 -5.6315 0.0000
2.2870 5.6315 0.0000
0.0000 0.0000 17.3069
ATOMIC_POSITIONS crystal
Tm 0.0441 0.9559 0.5968
Tm 0.0441 0.9559 0.9032
Tm 0.3478 0.6522 0.5372
Tm 0.3478 0.6522 0.9628
Tm 0.4477 0.5523 0.7500
Tm 0.5523 0.4477 0.2500
Tm 0.6522 0.3478 0.0372
Tm 0.6522 0.3478 0.4628
Tm 0.9559 0.0441 0.0968
Tm 0.9559 0.0441 0.4032
Tl 0.1662 0.8338 0.7500
Tl 0.8338 0.1662 0.2500
In 0.2361 0.7639 0.1486
In 0.2361 0.7639 0.3514
In 0.7639 0.2361 0.6486
In 0.7639 0.2361 0.8514
! * crystal system: orthorhombic
! * energy of formation: -139.4 kJ/mol of formula units
! * excess energy over the best structure of this formula in the dataset: 0.142 eV/atom
! * theoretical density: 9.53 g/cm³

=====

Record order is preserved below.
Total moment: 0.000; 0.000; 0.000; 2.676; 0.374; 0.000 μB/f.u.